# 1
VASP calculation (GGA-PBE) on Dy6Pb3C after structural relaxation.

Values from the calculation:
E ... -5.111 eV per atom
Calculated formation energy ... -0.314 eV/atom
ρ ... 9.392 Mg/m³

The structure in CIF format:
```
data_Dy6Pb3C
_cell_length_a 11.741
_cell_length_b 6.780
_cell_length_c 7.493
_cell_angle_alpha 90.00
_cell_angle_beta 107.52
_cell_angle_gamma 90.00
_space_group_name_H-M_alt 'C 1 2/m 1'
_space_group_IT_number 12
loop_
_space_group_symop_operation_xyz
'x,y,z'
'-x,-y,-z'
'-x,y,-z'
'x,-y,z'
'x+1/2,y+1/2,z'
'-x+1/2,-y+1/2,-z'
'-x+1/2,y+1/2,-z'
'x+1/2,-y+1/2,z'
loop_
_atom_site_label
_atom_site_fract_x
_atom_site_fract_y
_atom_site_fract_z
_atom_site_occupancy
Dy1 0.099 0.249 0.369 1
Dy2 0.170 0.000 0.806 1
Pb1 0.000 0.500 0.000 1
Pb2 0.184 0.500 0.745 1
C1 0.000 0.000 0.500 1
```

# 2
VASP calculation (GGA-PBE) on ThHg2I4 after structural relaxation.

Values from the calculation:
Formation energy from raw total energies ... -76.9 kJ per mole of atoms
E ... -2.829 eV per atom
ρ ... 4.960 Mg/m³

The structure in CIF format:
```
data_ThHg2I4
_cell_length_a 19.576
_cell_length_b 4.634
_cell_length_c 8.585
_cell_angle_alpha 90.00
_cell_angle_beta 101.18
_cell_angle_gamma 90.00
_space_group_name_H-M_alt 'C 1 2/m 1'
_space_group_IT_number 12
loop_
_space_group_symop_operation_xyz
'x,y,z'
'-x,-y,-z'
'-x,y,-z'
'x,-y,z'
'x+1/2,y+1/2,z'
'-x+1/2,-y+1/2,-z'
'-x+1/2,y+1/2,-z'
'x+1/2,-y+1/2,z'
loop_
_atom_site_label
_atom_site_fract_x
_atom_site_fract_y
_atom_site_fract_z
_atom_site_occupancy
Th1 0.000 0.000 0.000 1
Hg1 0.213 0.500 0.609 1
I1 0.035 0.500 0.255 1
I2 0.146 0.000 0.956 1
```